Entry 1:
# LaCd2Cu, relaxed, DFT GGA-PBE
# formation energy from the elements: 0.30 eV per formula unit
# final energy: -2.638 eV per atom
data_LaCd2Cu
_chemical_formula_sum 'La3 Cd6 Cu3'
_space_group_name_H-M_alt 'R -3 m'
_space_group_IT_number 166
_space_group_name_Hall '-R 3 2"'
_cell_length_a 3.5428
_cell_length_b 3.5428
_cell_length_c 27.1883
_cell_angle_alpha 90.00
_cell_angle_beta 90.00
_cell_angle_gamma 120.00
loop_
_atom_site_label
_atom_site_fract_x
_atom_site_fract_y
_atom_site_fract_z
La1 0.0000 0.0000 0.0000
Cd1 0.0000 0.0000 0.2314
Cu1 0.0000 0.0000 0.5000

=====

Entry 2:
# La2CdCu, relaxed, DFT GGA-PBE
# formation energy from the elements: 0.04 eV per formula unit
# final energy: -3.706 eV per atom
data_La2CdCu
_chemical_formula_sum 'La8 Cd4 Cu4'
_space_group_name_H-M_alt 'F -4 3 m'
_space_group_IT_number 216
_space_group_name_Hall 'F -4 2 3'
_cell_length_a 7.3226
_cell_length_b 7.3226
_cell_length_c 7.3226
_cell_angle_alpha 90.00
_cell_angle_beta 90.00
_cell_angle_gamma 90.00
loop_
_atom_site_label
_atom_site_fract_x
_atom_site_fract_y
_atom_site_fract_z
La1 0.0000 0.0000 0.0000
La2 0.2500 0.2500 0.2500
Cd1 0.2500 0.2500 0.7500
Cu1 0.0000 0.0000 0.5000

=====

Entry 3:
# La2CdCu, relaxed, DFT GGA-PBE
# formation energy from the elements: 0.13 eV per formula unit
# final energy: -3.684 eV per atom
data_La2CdCu
_chemical_formula_sum 'La8 Cd4 Cu4'
_space_group_name_H-M_alt 'I -4 2 d'
_space_group_IT_number 122
_space_group_name_Hall 'I -4 2bw'
_cell_length_a 8.4561
_cell_length_b 8.4561
_cell_length_c 6.4726
_cell_angle_alpha 90.00
_cell_angle_beta 90.00
_cell_angle_gamma 90.00
loop_
_atom_site_label
_atom_site_fract_x
_atom_site_fract_y
_atom_site_fract_z
La1 0.1998 0.2500 0.1250
Cd1 0.0000 0.0000 0.5000
Cu1 0.0000 0.0000 0.0000

=====

Entry 4:
# La4Cd5Cu2, relaxed, DFT GGA-PBE
# formation energy from the elements: -2.80 eV per formula unit
# final energy: -3.207 eV per atom
data_La4Cd5Cu2
_chemical_formula_sum 'La4 Cd5 Cu2'
_space_group_name_H-M_alt 'P 1 2/m 1'
_space_group_IT_number 10
_space_group_name_Hall '-P 2y'
_cell_length_a 7.8094
_cell_length_b 3.9027
_cell_length_c 9.8400
_cell_angle_alpha 90.00
_cell_angle_beta 94.09
_cell_angle_gamma 90.00
loop_
_atom_site_label
_atom_site_fract_x
_atom_site_fract_y
_atom_site_fract_z
La1 0.1675 0.0000 0.3596
La2 0.2385 0.0000 0.9418
Cd1 0.1887 0.5000 0.6542
Cd2 0.4421 0.5000 0.1898
Cd3 0.5000 0.5000 0.5000
Cu1 0.0605 0.5000 0.1274

=====

Entry 5:
# La4CdCu, relaxed, DFT GGA-PBE
# formation energy from the elements: -0.68 eV per formula unit
# final energy: -4.233 eV per atom
# distance to the lowest polymorph of the same formula: 0.14 eV/f.u.
data_La4CdCu
_chemical_formula_sum 'La16 Cd4 Cu4'
_space_group_name_H-M_alt 'C 1 2/c 1'
_space_group_IT_number 15
_space_group_name_Hall '-C 2yc'
_cell_length_a 9.0548
_cell_length_b 14.1482
_cell_length_c 6.1392
_cell_angle_alpha 90.00
_cell_angle_beta 111.47
_cell_angle_gamma 90.00
loop_
_atom_site_label
_atom_site_fract_x
_atom_site_fract_y
_atom_site_fract_z
La1 0.1125 0.1919 0.0721
La2 0.2213 0.4169 0.3561
Cd1 0.0000 0.3888 0.7500
Cu1 0.0000 0.0028 0.7500

=====

Entry 6:
# La2Cd2Cu, relaxed, DFT GGA-PBE
# formation energy from the elements: 0.30 eV per formula unit
# final energy: -3.097 eV per atom
# distance to the lowest polymorph of the same formula: 0.90 eV/f.u.
data_La2Cd2Cu
_chemical_formula_sum 'La4 Cd4 Cu2'
_space_group_name_H-M_alt 'P 4/m b m'
_space_group_IT_number 127
_space_group_name_Hall '-P 4 2ab'
_cell_length_a 7.6670
_cell_length_b 7.6670
_cell_length_c 5.0810
_cell_angle_alpha 90.00
_cell_angle_beta 90.00
_cell_angle_gamma 90.00
loop_
_atom_site_label
_atom_site_fract_x
_atom_site_fract_y
_atom_site_fract_z
La1 0.1451 0.3549 0.0000
Cd1 0.1526 0.6526 0.5000
Cu1 0.0000 0.0000 0.0000

=====

Entry 7:
# La6Cd2Cu, relaxed, DFT GGA-PBE
# formation energy from the elements: -1.56 eV per formula unit
# final energy: -4.116 eV per atom
# distance to the lowest polymorph of the same formula: 0.00 eV/f.u.
data_La6Cd2Cu
_chemical_formula_sum 'La6 Cd2 Cu1'
_space_group_name_H-M_alt 'P -6 2 m'
_space_group_IT_number 189
_space_group_name_Hall 'P -6 -2'
_cell_length_a 9.1532
_cell_length_b 9.1532
_cell_length_c 3.8702
_cell_angle_alpha 90.00
_cell_angle_beta 90.00
_cell_angle_gamma 120.00
loop_
_atom_site_label
_atom_site_fract_x
_atom_site_fract_y
_atom_site_fract_z
La1 0.0000 0.4026 0.0000
La2 0.0000 0.7529 0.5000
Cd1 0.3333 0.6667 0.5000
Cu1 0.0000 0.0000 0.0000

=====

Entry 8:
# La2CdCu, relaxed, DFT GGA-PBE
# formation energy from the elements: -0.73 eV per formula unit
# final energy: -3.899 eV per atom
data_La2CdCu
_chemical_formula_sum 'La2 Cd1 Cu1'
_space_group_name_H-M_alt 'P m m 2'
_space_group_IT_number 25
_space_group_name_Hall 'P 2 -2'
_cell_length_a 3.8043
_cell_length_b 5.1579
_cell_length_c 5.5418
_cell_angle_alpha 90.00
_cell_angle_beta 90.00
_cell_angle_gamma 90.00
loop_
_atom_site_label
_atom_site_fract_x
_atom_site_fract_y
_atom_site_fract_z
La1 0.0000 0.0000 0.0000
La2 0.0000 0.5000 0.4277
Cd1 0.5000 0.5000 0.9017
Cu1 0.5000 0.0000 0.5413

=====

Entry 9:
# LaCd6Cu6, relaxed, DFT GGA-PBE
# formation energy from the elements: -0.91 eV per formula unit
# final energy: -2.762 eV per atom
data_LaCd6Cu6
_chemical_formula_sum 'La2 Cd12 Cu12'
_space_group_name_H-M_alt 'I m m m'
_space_group_IT_number 71
_space_group_name_Hall '-I 2 2'
_cell_length_a 5.2322
_cell_length_b 9.4620
_cell_length_c 9.4837
_cell_angle_alpha 90.00
_cell_angle_beta 90.00
_cell_angle_gamma 90.00
loop_
_atom_site_label
_atom_site_fract_x
_atom_site_fract_y
_atom_site_fract_z
La1 0.0000 0.0000 0.0000
Cd1 0.0000 0.0000 0.3410
Cd2 0.0000 0.3024 0.5000
Cd3 0.0000 0.3488 0.0000
Cu1 0.0000 0.5000 0.2745
Cu2 0.2500 0.2500 0.2500

=====

Entry 10:
# LaCd4Cu, relaxed, DFT GGA-PBE
# formation energy from the elements: -1.29 eV per formula unit
# final energy: -2.329 eV per atom
# distance to the lowest polymorph of the same formula: 0.00 eV/f.u.
data_LaCd4Cu
_chemical_formula_sum 'La2 Cd8 Cu2'
_space_group_name_H-M_alt 'P m m a'
_space_group_IT_number 51
_space_group_name_Hall '-P 2a 2a'
_cell_length_a 8.3342
_cell_length_b 4.3779
_cell_length_c 7.5985
_cell_angle_alpha 90.00
_cell_angle_beta 90.00
_cell_angle_gamma 90.00
loop_
_atom_site_label
_atom_site_fract_x
_atom_site_fract_y
_atom_site_fract_z
La1 0.2500 0.0000 0.1084
Cd1 0.0000 0.0000 0.5000
Cd2 0.0603 0.5000 0.8089
Cd3 0.2500 0.5000 0.4415
Cu1 0.2500 0.0000 0.7135

=====

Entry 11:
# LaCd2Cu, relaxed, DFT GGA-PBE
# formation energy from the elements: -0.49 eV per formula unit
# final energy: -2.835 eV per atom
data_LaCd2Cu
_chemical_formula_sum 'La1 Cd2 Cu1'
_space_group_name_H-M_alt 'P 1 m 1'
_space_group_IT_number 6
_space_group_name_Hall 'P -2y'
_cell_length_a 3.6360
_cell_length_b 4.2378
_cell_length_c 6.5955
_cell_angle_alpha 90.00
_cell_angle_beta 105.92
_cell_angle_gamma 90.00
loop_
_atom_site_label
_atom_site_fract_x
_atom_site_fract_y
_atom_site_fract_z
La1 0.0000 0.0000 0.0000
Cd1 0.2696 0.0000 0.5413
Cd2 0.6665 0.5000 0.3367
Cu1 0.4067 0.5000 0.8095

=====

Entry 12:
# LaCd2Cu2, relaxed, DFT GGA-PBE
# formation energy from the elements: -0.01 eV per formula unit
# final energy: -2.992 eV per atom
# distance to the lowest polymorph of the same formula: 1.08 eV/f.u.
data_LaCd2Cu2
_chemical_formula_sum 'La2 Cd4 Cu4'
_space_group_name_H-M_alt 'P 4/m b m'
_space_group_IT_number 127
_space_group_name_Hall '-P 4 2ab'
_cell_length_a 8.0740
_cell_length_b 8.0740
_cell_length_c 3.1216
_cell_angle_alpha 90.00
_cell_angle_beta 90.00
_cell_angle_gamma 90.00
loop_
_atom_site_label
_atom_site_fract_x
_atom_site_fract_y
_atom_site_fract_z
La1 0.0000 0.0000 0.0000
Cd1 0.1687 0.3313 0.5000
Cu1 0.1187 0.6187 0.0000

=====

Entry 13:
# La11Cd9Cu4, relaxed, DFT GGA-PBE
# formation energy from the elements: -7.22 eV per formula unit
# final energy: -3.585 eV per atom
data_La11Cd9Cu4
_chemical_formula_sum 'La22 Cd18 Cu8'
_space_group_name_H-M_alt 'C m m m'
_space_group_IT_number 65
_space_group_name_Hall '-C 2 2'
_cell_length_a 15.2290
_cell_length_b 22.8204
_cell_length_c 3.8210
_cell_angle_alpha 90.00
_cell_angle_beta 90.00
_cell_angle_gamma 90.00
loop_
_atom_site_label
_atom_site_fract_x
_atom_site_fract_y
_atom_site_fract_z
La1 0.0000 0.0000 0.0000
La2 0.0000 0.1629 0.0000
La3 0.0000 0.3725 0.0000
La4 0.1927 0.5000 0.0000
La5 0.2420 0.1733 0.0000
Cd1 0.0000 0.5000 0.5000
Cd2 0.1014 0.2654 0.5000
Cd3 0.1481 0.0705 0.5000
Cu1 0.1511 0.3997 0.5000

=====

Entry 14:
# LaCd2Cu, relaxed, DFT GGA-PBE
# formation energy from the elements: -0.44 eV per formula unit
# final energy: -2.824 eV per atom
data_LaCd2Cu
_chemical_formula_sum 'La1 Cd2 Cu1'
_space_group_name_H-M_alt 'P 4 m m'
_space_group_IT_number 99
_space_group_name_Hall 'P 4 -2'
_cell_length_a 3.3935
_cell_length_b 3.3935
_cell_length_c 7.9469
_cell_angle_alpha 90.00
_cell_angle_beta 90.00
_cell_angle_gamma 90.00
loop_
_atom_site_label
_atom_site_fract_x
_atom_site_fract_y
_atom_site_fract_z
La1 0.0000 0.0000 0.0000
Cd1 0.0000 0.0000 0.5662
Cd2 0.5000 0.5000 0.3151
Cu1 0.5000 0.5000 0.7463

=====

Entry 15:
# LaCd4Cu2, relaxed, DFT GGA-PBE
# formation energy from the elements: -1.21 eV per formula unit
# final energy: -2.570 eV per atom
data_LaCd4Cu2
_chemical_formula_sum 'La2 Cd8 Cu4'
_space_group_name_H-M_alt 'C m m m'
_space_group_IT_number 65
_space_group_name_Hall '-C 2 2'
_cell_length_a 4.3547
_cell_length_b 16.2287
_cell_length_c 4.2973
_cell_angle_alpha 90.00
_cell_angle_beta 90.00
_cell_angle_gamma 90.00
loop_
_atom_site_label
_atom_site_fract_x
_atom_site_fract_y
_atom_site_fract_z
La1 0.0000 0.0000 0.0000
Cd1 0.0000 0.1763 0.5000
Cd2 0.0000 0.3215 0.0000
Cu1 0.0000 0.4262 0.5000

=====

Entry 16:
# La8CdCu2, relaxed, DFT GGA-PBE
# formation energy from the elements: -0.88 eV per formula unit
# final energy: -4.491 eV per atom
data_La8CdCu2
_chemical_formula_sum 'La16 Cd2 Cu4'
_space_group_name_H-M_alt 'C 1 2/m 1'
_space_group_IT_number 12
_space_group_name_Hall '-C 2y'
_cell_length_a 16.6271
_cell_length_b 5.4762
_cell_length_c 8.6154
_cell_angle_alpha 90.00
_cell_angle_beta 119.11
_cell_angle_gamma 90.00
loop_
_atom_site_label
_atom_site_fract_x
_atom_site_fract_y
_atom_site_fract_z
La1 0.0687 0.0000 0.2297
La2 0.1062 0.5000 0.9637
La3 0.1531 0.0000 0.7286
La4 0.1874 0.5000 0.4725
Cd1 0.0000 0.5000 0.5000
Cu1 0.2196 0.0000 0.1249

=====

Entry 17:
# La2CdCu2, relaxed, DFT GGA-PBE
# formation energy from the elements: -0.44 eV per formula unit
# final energy: -3.880 eV per atom
data_La2CdCu2
_chemical_formula_sum 'La4 Cd2 Cu4'
_space_group_name_H-M_alt 'I 4/m m m'
_space_group_IT_number 139
_space_group_name_Hall '-I 4 2'
_cell_length_a 5.6704
_cell_length_b 5.6704
_cell_length_c 8.0834
_cell_angle_alpha 90.00
_cell_angle_beta 90.00
_cell_angle_gamma 90.00
loop_
_atom_site_label
_atom_site_fract_x
_atom_site_fract_y
_atom_site_fract_z
La1 0.0000 0.5000 0.2500
Cd1 0.0000 0.0000 0.0000
Cu1 0.0000 0.0000 0.3582

=====

Entry 18:
# LaCd2Cu2, relaxed, DFT GGA-PBE
# formation energy from the elements: 0.16 eV per formula unit
# final energy: -2.959 eV per atom
# distance to the lowest polymorph of the same formula: 1.24 eV/f.u.
data_LaCd2Cu2
_chemical_formula_sum 'La2 Cd4 Cu4'
_space_group_name_H-M_alt 'P 4/m b m'
_space_group_IT_number 127
_space_group_name_Hall '-P 4 2ab'
_cell_length_a 8.2285
_cell_length_b 8.2285
_cell_length_c 2.9860
_cell_angle_alpha 90.00
_cell_angle_beta 90.00
_cell_angle_gamma 90.00
loop_
_atom_site_label
_atom_site_fract_x
_atom_site_fract_y
_atom_site_fract_z
La1 0.0000 0.0000 0.0000
Cd1 0.1230 0.3770 0.0000
Cu1 0.1749 0.6749 0.5000

=====

Entry 19:
# La2Cd2Cu15, relaxed, DFT GGA-PBE
# formation energy from the elements: -1.51 eV per formula unit
# final energy: -3.928 eV per atom
data_La2Cd2Cu15
_chemical_formula_sum 'La6 Cd6 Cu45'
_space_group_name_H-M_alt 'R -3 m'
_space_group_IT_number 166
_space_group_name_Hall '-R 3 2"'
_cell_length_a 8.8601
_cell_length_b 8.8601
_cell_length_c 12.9145
_cell_angle_alpha 90.00
_cell_angle_beta 90.00
_cell_angle_gamma 120.00
loop_
_atom_site_label
_atom_site_fract_x
_atom_site_fract_y
_atom_site_fract_z
La1 0.0000 0.0000 0.1466
Cd1 0.0000 0.0000 0.3948
Cu1 0.0000 0.3001 0.5000
Cu2 0.0000 0.5000 0.0000
Cu3 0.0024 0.5012 0.6544

=====

Entry 20:
# LaCd2Cu6, relaxed, DFT GGA-PBE
# formation energy from the elements: 0.49 eV per formula unit
# final energy: -3.427 eV per atom
data_LaCd2Cu6
_chemical_formula_sum 'La2 Cd4 Cu12'
_space_group_name_H-M_alt 'I m m m'
_space_group_IT_number 71
_space_group_name_Hall '-I 2 2'
_cell_length_a 3.8404
_cell_length_b 6.7710
_cell_length_c 12.4849
_cell_angle_alpha 90.00
_cell_angle_beta 90.00
_cell_angle_gamma 90.00
loop_
_atom_site_label
_atom_site_fract_x
_atom_site_fract_y
_atom_site_fract_z
La1 0.0000 0.0000 0.0000
Cd1 0.0000 0.5000 0.1316
Cu1 0.0000 0.1766 0.5000
Cu2 0.0000 0.3030 0.3154

=====

Entry 21:
# La2Cd2Cu, relaxed, DFT GGA-PBE
# formation energy from the elements: 0.82 eV per formula unit
# final energy: -2.991 eV per atom
# distance to the lowest polymorph of the same formula: 1.43 eV/f.u.
data_La2Cd2Cu
_chemical_formula_sum 'La4 Cd4 Cu2'
_space_group_name_H-M_alt 'I 4/m m m'
_space_group_IT_number 139
_space_group_name_Hall '-I 4 2'
_cell_length_a 6.2876
_cell_length_b 6.2876
_cell_length_c 7.7517
_cell_angle_alpha 90.00
_cell_angle_beta 90.00
_cell_angle_gamma 90.00
loop_
_atom_site_label
_atom_site_fract_x
_atom_site_fract_y
_atom_site_fract_z
La1 0.0000 0.5000 0.2500
Cd1 0.0000 0.0000 0.1682
Cu1 0.0000 0.0000 0.5000

=====

Entry 22:
# La2Cd2Cu, relaxed, DFT GGA-PBE
# formation energy from the elements: -0.61 eV per formula unit
# final energy: -3.278 eV per atom
# distance to the lowest polymorph of the same formula: 0.00 eV/f.u.
data_La2Cd2Cu
_chemical_formula_sum 'La4 Cd4 Cu2'
_space_group_name_H-M_alt 'P 4/m b m'
_space_group_IT_number 127
_space_group_name_Hall '-P 4 2ab'
_cell_length_a 7.1860
_cell_length_b 7.1860
_cell_length_c 5.2108
_cell_angle_alpha 90.00
_cell_angle_beta 90.00
_cell_angle_gamma 90.00
loop_
_atom_site_label
_atom_site_fract_x
_atom_site_fract_y
_atom_site_fract_z
La1 0.1629 0.3371 0.0000
Cd1 0.1451 0.6451 0.5000
Cu1 0.0000 0.0000 0.5000

=====

Entry 23:
# La2CdCu, relaxed, DFT GGA-PBE
# formation energy from the elements: -0.18 eV per formula unit
# final energy: -3.761 eV per atom
data_La2CdCu
_chemical_formula_sum 'La6 Cd3 Cu3'
_space_group_name_H-M_alt 'R -3 m'
_space_group_IT_number 166
_space_group_name_Hall '-R 3 2"'
_cell_length_a 3.9155
_cell_length_b 3.9155
_cell_length_c 27.1834
_cell_angle_alpha 90.00
_cell_angle_beta 90.00
_cell_angle_gamma 120.00
loop_
_atom_site_label
_atom_site_fract_x
_atom_site_fract_y
_atom_site_fract_z
La1 0.0000 0.0000 0.2396
Cd1 0.0000 0.0000 0.0000
Cu1 0.0000 0.0000 0.5000